Entry 1:
Cs2TePd (PBE, optimized geometry); ρ = 4.87 g/cm3; distance to the lowest polymorph of the same formula = 0.000 eV per atom; energy = -10.53 eV/f.u.; volume = 42.6 Å³/atom; N(E_F) = 4.0708 states/eV per atom
1.0
0.000 4.401 4.401
4.401 0.000 4.401
4.401 4.401 0.000
Te Cs Pd
1 2 1
Cartesian
4.401 4.401 4.401
2.200 2.200 2.200
6.601 6.601 6.601
0.000 0.000 0.000

Entry 2:
Na2InSbH (PBE, optimized geometry); ρ = 4.31 g/cm3; distance to the lowest polymorph of the same formula = 0.120 eV per atom; energy = -13.25 eV/f.u.; volume = 21.9 Å³/atom; N(E_F) = 0.2869 states/eV per atom
1.0
4.968 0.000 0.000
0.000 4.968 0.000
0.000 0.000 4.427
In Na H Sb
1 2 1 1
Cartesian
2.484 2.484 2.213
2.484 0.000 0.000
0.000 2.484 0.000
0.000 0.000 0.000
0.000 0.000 2.213

Entry 3:
Mg2BiRh (PBE, optimized geometry); ρ = 7.45 g/cm3; formation energy = -0.292 eV per atom; energy = -15.59 eV/f.u.; volume = 20.1 Å³/atom; N(E_F) = 0.3145 states/eV per atom
1.0
-1.849 3.382 2.562
2.487 -2.257 4.775
4.831 3.348 -0.934
Mg Rh Bi
4 2 2
Cartesian
1.594 0.469 4.712
6.044 1.186 2.796
0.372 1.577 2.367
4.778 2.334 0.367
2.506 -0.253 2.143
2.644 4.164 0.591
3.210 2.566 3.109
1.941 1.345 -0.375

Entry 4:
Be2InIr (PBE, optimized geometry); ρ = 9.40 g/cm3; formation energy = 0.146 eV per atom; energy = -18.47 eV/f.u.; volume = 14.3 Å³/atom; N(E_F) = 0.1336 states/eV per atom
1.0
-1.848 -7.216 2.389
-1.208 -7.716 -0.443
0.951 -7.606 1.558
Be Ir In
2 1 1
Cartesian
-0.028 -0.297 0.046
-1.025 -10.972 1.706
-1.579 -16.904 2.628
-0.526 -5.635 0.876

Entry 5:
FeHg2As (PBE, optimized geometry); ρ = 10.34 g/cm3; formation energy = 0.270 eV per atom; energy = -12.63 eV/f.u.; volume = 21.4 Å³/atom; N(E_F) = 0.7338 states/eV per atom
1.0
2.953 0.000 0.000
0.000 4.556 -0.241
0.000 2.610 6.214
Fe As Hg
1 1 2
Cartesian
1.476 4.544 4.963
0.000 4.446 3.162
1.476 2.077 1.474
0.000 6.847 5.334

Entry 6:
MnHgI3 (PBE, optimized geometry); ρ = 5.55 g/cm3; distance to the lowest polymorph of the same formula = 0.020 eV per atom; energy = -15.75 eV/f.u.; volume = 38.0 Å³/atom
1.0
4.206 -0.211 -0.158
1.764 7.119 0.662
-0.331 -2.143 12.343
I Mn Hg
6 2 2
Cartesian
0.971 3.187 6.132
2.918 -0.181 7.330
0.661 0.028 3.758
3.228 2.968 9.711
0.740 -0.171 11.061
3.142 3.166 2.406
2.909 1.390 4.923
0.980 1.617 8.536
4.228 4.902 12.487
1.419 5.219 1.653